No. 1
A plane-wave DFT calculation with PBE was carried out for a relaxed structure of LuAgGeSe3.

Computed properties:
Space group: Cmcm, No. 63
E: -4.46 eV/atom

```
12
Lattice="1.9792 -6.5993 0.0000 1.9792 6.5993 0.0000 0.0000 0.0000 10.6922" Properties=species:S:1:pos:R:3 pbc="T T T"
Lu 0.0000 0.0000 0.0000
Lu 0.0000 0.0000 5.3461
Ag 1.9792 0.3844 8.0192
Ag 1.9792 -0.3844 2.6731
Ge 1.9792 3.4659 2.6731
Ge 1.9792 -3.4659 8.0192
Se 1.9792 5.1633 8.0192
Se 1.9792 1.9267 5.9565
Se 1.9792 1.9267 10.0818
Se 1.9792 -1.9267 0.6104
Se 1.9792 -1.9267 4.7357
Se 1.9792 -5.1633 2.6731
```



No. 2
A plane-wave DFT calculation with PBE was carried out for a relaxed structure of LuAgGeTe2Se.

Computed properties:
Space group: Cmcm, No. 63
E: -4.18 eV/atom

```
12
Lattice="2.0963 -7.1394 0.0000 2.0963 7.1394 0.0000 0.0000 0.0000 10.3211" Properties=species:S:1:pos:R:3 pbc="T T T"
Lu 0.0000 0.0000 0.0000
Lu 0.0000 0.0000 5.1605
Ag 2.0963 0.2802 7.7408
Ag 2.0963 -0.2802 2.5803
Ge 2.0963 3.6189 2.5803
Ge 2.0963 -3.6189 7.7408
Te 2.0963 2.1927 5.7428
Te 2.0963 2.1927 9.7389
Te 2.0963 -2.1927 0.5822
Te 2.0963 -2.1927 4.5783
Se 2.0963 5.7801 7.7408
Se 2.0963 -5.7801 2.5803
```



No. 3
A plane-wave DFT calculation with PBE was carried out for a relaxed structure of Lu3Si2Ag4Ge2.

Computed properties:
Space group: Immm, No. 71
E: -4.54 eV/atom

```
11
Lattice="-2.1151 3.5175 7.1183 2.1151 -3.5175 7.1183 2.1151 3.5175 -7.1183" Properties=species:S:1:pos:R:3 pbc="T T T"
Lu 0.0000 0.0000 0.0000
Lu 2.1151 0.0000 5.3424
Lu 0.0000 3.5175 1.7758
Si 0.0000 0.0000 3.0758
Si 0.0000 0.0000 11.1607
Ag 2.1151 1.4032 -2.4737
Ag 2.1151 1.4032 2.4737
Ag 0.0000 2.1143 4.6445
Ag 0.0000 2.1143 9.5920
Ge 2.1151 2.2007 0.0000
Ge 0.0000 1.3168 7.1183
```



No. 4
A plane-wave DFT calculation with PBE was carried out for a relaxed structure of LuAgGeTe3.

Computed properties:
Relative energy among the computed polymorphs: 0.00 kJ per mole of atoms
Space group: P2_1/m, No. 11
E: -4.10 eV/atom

```
12
Lattice="8.3405 0.0000 0.0000 0.0000 4.2943 0.0000 -2.9322 0.0000 9.8719" Properties=species:S:1:pos:R:3 pbc="T T T"
Lu 1.2821 1.0736 1.7271
Lu 4.1262 3.2207 8.1448
Ag 1.9753 3.2207 4.1228
Ag 3.4330 1.0736 5.7491
Ge -0.7835 3.2207 6.8514
Ge 6.1918 1.0736 3.0205
Te -1.9273 1.0736 8.5438
Te 0.1819 1.0736 4.6981
Te 3.3110 3.2207 1.7126
Te 2.0973 1.0736 8.1593
Te 5.2264 3.2207 5.1737
Te 7.3356 3.2207 1.3281
```



No. 5
A plane-wave DFT calculation with PBE was carried out for a relaxed structure of LuAgGeTe3.

Computed properties:
Relative energy among the computed polymorphs: 4.39 kJ per mole of atoms
Space group: C2/m, No. 12
E: -4.05 eV/atom

```
12
Lattice="9.6610 -2.0833 0.0000 9.6610 2.0833 0.0000 -1.8241 0.0000 8.5208" Properties=species:S:1:pos:R:3 pbc="T T T"
Lu 2.9681 0.0000 0.7472
Lu 14.5298 0.0000 7.7736
Ag 7.3705 0.0000 6.6719
Ag 10.1274 0.0000 1.8489
Ge 1.3736 0.0000 4.8216
Ge 16.1243 0.0000 3.6992
Te 0.0000 0.0000 0.0000
Te 4.8493 0.0000 5.5295
Te 5.9887 0.0000 1.3696
Te 8.7490 0.0000 4.2604
Te 11.5092 0.0000 7.1512
Te 12.6487 0.0000 2.9913
```



No. 6
A plane-wave DFT calculation with PBE was carried out for a relaxed structure of LuAgGeTe3.

Computed properties:
Relative energy among the computed polymorphs: 1.12 kJ per mole of atoms
Space group: Pnma, No. 62
E: -4.09 eV/atom

```
24
Lattice="11.1745 0.0000 0.0000 0.0000 4.3291 0.0000 0.0000 0.0000 14.4357" Properties=species:S:1:pos:R:3 pbc="T T T"
Lu 0.2675 1.0823 3.4587
Lu 5.3197 3.2468 10.6765
Lu 5.8547 1.0823 3.7592
Lu 10.9069 3.2468 10.9771
Ag 2.7636 1.0823 10.5583
Ag 2.8236 3.2468 3.3405
Ag 8.3509 1.0823 11.0953
Ag 8.4108 3.2468 3.8774
Ge 1.9513 3.2468 6.9955
Ge 3.6359 1.0823 14.2133
Ge 7.5385 3.2468 0.2224
Ge 9.2231 1.0823 7.4402
Te 0.5504 1.0823 8.7413
Te 0.8002 3.2468 1.5194
Te 2.6597 3.2468 12.3628
Te 2.9275 1.0823 5.1449
Te 4.7870 1.0823 8.7372
Te 5.0369 3.2468 1.5235
Te 6.1376 1.0823 12.9122
Te 6.3875 3.2468 5.6985
Te 8.2470 3.2468 9.2908
Te 8.5147 1.0823 2.0729
Te 10.3742 1.0823 12.9163
Te 10.6241 3.2468 5.6944
```